(1)
Entry from the Alexandria database: Li3PdPt after structural relaxation (PBE).

a = 7.2117 Å, b = 7.2117 Å, c = 8.5540 Å
α = 90.00°, β = 90.00°, γ = 158.73°
Closest atoms and distances in Å follow each position.
Atoms (fractional coordinates):
Li: 0.0734 0.9266 0.7500  2 Pd 2.38, 2 Pt 2.59, 2 Li 2.66
Li: 0.3420 0.6580 0.5534  2 Pd 2.65, 2 Li 2.66, 3 Pt 2.67-2.79
Li: 0.3420 0.6580 0.9466  2 Pd 2.65, 2 Li 2.66, 3 Pt 2.67-2.79
Li: 0.6580 0.3420 0.0534  2 Pd 2.65, 2 Li 2.66, 3 Pt 2.67-2.79
Li: 0.6580 0.3420 0.4466  2 Pd 2.65, 2 Li 2.66, 3 Pt 2.67-2.79
Li: 0.9266 0.0734 0.2500  2 Pd 2.38, 2 Pt 2.59, 2 Li 2.66
Pd: 0.0000 0.0000 0.0000  6 Li 2.38-2.65, 2 Pd 2.66
Pd: 0.0000 0.0000 0.5000  6 Li 2.38-2.65, 2 Pd 2.66
Pt: 0.2697 0.7303 0.2500  8 Li 2.59-2.79, 2 Pt 2.66
Pt: 0.7303 0.2697 0.7500  8 Li 2.59-2.79, 2 Pt 2.66

Values from the calculation:
Its total magnetic moment is 0.0 μB/f.u. Its mass density is 6.63 g/cm3. Its crystal system is orthorhombic.


(2)
Entry from the Alexandria database: Li3PdPt after structural relaxation (PBE).

a = 4.5814 Å, b = 4.5814 Å, c = 4.5814 Å
α = 90.00°, β = 90.00°, γ = 90.00°
Closest atoms and distances in Å follow each position.
Atoms (fractional coordinates):
Li: 0.0000 0.0000 0.5000  2 Pt 2.29
Li: 0.0000 0.5000 0.0000  2 Pt 2.29
Li: 0.5000 0.0000 0.0000  2 Pt 2.29
Pd: 0.5000 0.5000 0.5000  12 Li 3.24
Pt: 0.0000 0.0000 0.0000  6 Li 2.29

Values from the calculation:
Its total magnetic moment is 0.0 μB/f.u. Its mass density is 5.57 g/cm3. Its crystal system is cubic.


Tell me which of them is the least stable. Sure, it is (2).